{"formula": "YAsI2Br", "functional": "SCAN", "state": "single point on PBEsol structure", "lattice_angstrom": [[5.5690, 0.0000, 0.0000], [0.0000, 5.5690, 0.0000], [0.0000, 0.0000, 5.5020]], "species": ["Y", "As", "I", "I", "Br"], "frac_coords": [[0.0000, 0.0000, 0.0000], [0.0000, 0.0000, 0.5000], [0.0000, 0.5000, 0.5000], [0.5000, 0.0000, 0.5000], [0.5000, 0.5000, 0.0000]], "vol_a3_per_cell": 171, "total_energy_ev_per_fu": -143.117}

{"formula": "FeHg2Sb", "functional": "SCAN", "state": "single point on PBEsol structure", "lattice_angstrom": [[4.0278, 0.0000, 0.0000], [0.0000, 4.0278, 0.0000], [0.0000, 0.0000, 9.8903]], "species": ["Fe", "Fe", "Hg", "Hg", "Hg", "Hg", "Sb", "Sb"], "frac_coords": [[0.0000, 0.0000, 0.0000], [0.5000, 0.5000, 0.5000], [0.0000, 0.5000, 0.2500], [0.0000, 0.5000, 0.7500], [0.5000, 0.0000, 0.2500], [0.5000, 0.0000, 0.7500], [0.0000, 0.0000, 0.5000], [0.5000, 0.5000, 0.0000]], "vol_a3_per_cell": 160, "total_energy_ev_per_fu": -189.826}

{"formula": "K4Re2Cl10O", "functional": "SCAN", "state": "single point on PBEsol structure", "lattice_angstrom": [[-3.4976, 3.4976, 8.8109], [3.4976, -3.4976, 8.8109], [3.4976, 3.4976, -8.8109]], "species": ["K", "K", "K", "K", "Re", "Re", "Cl", "Cl", "Cl", "Cl", "Cl", "Cl", "Cl", "Cl", "Cl", "Cl", "O"], "frac_coords": [[0.0000, 0.5000, 0.5000], [0.2500, 0.7500, 0.5000], [0.5000, 0.0000, 0.5000], [0.7500, 0.2500, 0.5000], [0.1043, 0.1043, 0.0000], [0.8957, 0.8957, 0.0000], [0.1279, 0.1279, 0.4793], [0.1279, 0.6486, 0.0000], [0.2396, 0.2396, 0.0000], [0.3514, 0.3514, 0.4793], [0.3514, 0.8721, 0.0000], [0.6486, 0.1279, 0.0000], [0.6486, 0.6486, 0.5207], [0.7604, 0.7604, 0.0000], [0.8721, 0.3514, 0.0000], [0.8721, 0.8721, 0.5207], [0.0000, 0.0000, 0.0000]], "vol_a3_per_cell": 431, "total_energy_ev_per_fu": -287.325}

{"formula": "Hg2IrOs", "functional": "SCAN", "state": "single point on PBEsol structure", "lattice_angstrom": [[4.0569, 0.0000, 0.0000], [0.0000, 4.0569, 0.0000], [0.0000, 0.0000, 4.0590]], "species": ["Hg", "Hg", "Ir", "Os"], "frac_coords": [[0.0000, 0.5000, 0.0000], [0.5000, 0.0000, 0.0000], [0.0000, 0.0000, 0.5000], [0.5000, 0.5000, 0.5000]], "vol_a3_per_cell": 67, "formation_enthalpy_0k_ev_per_atom": 1.0180, "polymorph_energy_mev_per_atom": 168}

{"formula": "LaYIr", "functional": "SCAN", "state": "single point on PBEsol structure", "lattice_angstrom": [[6.8560, 0.0000, 0.0000], [0.0000, 6.8560, 0.0000], [0.0000, 0.0000, 6.8560]], "species": ["La", "La", "La", "La", "Y", "Y", "Y", "Y", "Ir", "Ir", "Ir", "Ir"], "frac_coords": [[0.0000, 0.0000, 0.0000], [0.0000, 0.5000, 0.5000], [0.5000, 0.0000, 0.5000], [0.5000, 0.5000, 0.0000], [0.0000, 0.0000, 0.5000], [0.0000, 0.5000, 0.0000], [0.5000, 0.0000, 0.0000], [0.5000, 0.5000, 0.5000], [0.2500, 0.2500, 0.7500], [0.2500, 0.7500, 0.2500], [0.7500, 0.2500, 0.2500], [0.7500, 0.7500, 0.7500]], "vol_a3_per_cell": 322, "formation_enthalpy_0k_ev_per_atom": -0.7598}

{"formula": "SrSbF2", "functional": "SCAN", "state": "single point on PBEsol structure", "lattice_angstrom": [[6.7069, 0.0000, 0.0000], [0.0000, 6.7069, 0.0000], [0.0000, 0.0000, 6.7069]], "species": ["Sr", "Sr", "Sr", "Sr", "Sb", "Sb", "Sb", "Sb", "F", "F", "F", "F", "F", "F", "F", "F"], "frac_coords": [[0.0000, 0.0000, 0.0000], [0.0000, 0.5000, 0.5000], [0.5000, 0.0000, 0.5000], [0.5000, 0.5000, 0.0000], [0.0000, 0.0000, 0.5000], [0.0000, 0.5000, 0.0000], [0.5000, 0.0000, 0.0000], [0.5000, 0.5000, 0.5000], [0.2500, 0.2500, 0.2500], [0.2500, 0.2500, 0.7500], [0.2500, 0.7500, 0.2500], [0.2500, 0.7500, 0.7500], [0.7500, 0.2500, 0.2500], [0.7500, 0.2500, 0.7500], [0.7500, 0.7500, 0.2500], [0.7500, 0.7500, 0.7500]], "vol_a3_per_cell": 302, "total_energy_ev_per_fu": -73.647}

{"formula": "ZrTc2Sb", "functional": "SCAN", "state": "single point on PBEsol structure", "lattice_angstrom": [[3.0948, 0.0000, 0.0000], [0.0000, 4.1450, 0.0000], [0.0000, 0.0000, 5.3586]], "species": ["Zr", "Tc", "Tc", "Sb"], "frac_coords": [[0.0000, 0.0000, 0.0000], [0.0000, 0.0000, 0.5273], [0.5000, 0.5000, 0.7633], [0.5000, 0.5000, 0.2827]], "vol_a3_per_cell": 69, "total_energy_ev_per_fu": -138.468}

{"formula": "Ta4BTe8", "functional": "SCAN", "state": "single point on PBEsol structure", "lattice_angstrom": [[11.2876, 0.0000, 0.0000], [0.0000, 16.8496, 0.0000], [0.0000, 0.0000, 3.5269]], "species": ["Ta", "Ta", "Ta", "Ta", "Ta", "Ta", "Ta", "Ta", "B", "B", "Te", "Te", "Te", "Te", "Te", "Te", "Te", "Te", "Te", "Te", "Te", "Te", "Te", "Te", "Te", "Te"], "frac_coords": [[0.0779, 0.0699, 0.0000], [0.1570, 0.9223, 0.5000], [0.3430, 0.4223, 0.5000], [0.4221, 0.5699, 0.0000], [0.5779, 0.4301, 0.0000], [0.6570, 0.5777, 0.5000], [0.8430, 0.0777, 0.5000], [0.9221, 0.9301, 0.0000], [0.0000, 0.0000, 0.5000], [0.5000, 0.5000, 0.5000], [0.0811, 0.8064, 0.0000], [0.1298, 0.3246, 0.5000], [0.1938, 0.5025, 0.0000], [0.2137, 0.1685, 0.5000], [0.2863, 0.6685, 0.5000], [0.3062, 0.0025, 0.0000], [0.3702, 0.8246, 0.5000], [0.4189, 0.3064, 0.0000], [0.5811, 0.6936, 0.0000], [0.6298, 0.1754, 0.5000], [0.6938, 0.9975, 0.0000], [0.7137, 0.3315, 0.5000], [0.7863, 0.8315, 0.5000], [0.8062, 0.4975, 0.0000], [0.8702, 0.6754, 0.5000], [0.9189, 0.1936, 0.0000]], "vol_a3_per_cell": 671, "total_energy_ev_per_fu": -577.074}